Computed, not measured: a relaxed structure of Y3Ni3Ir at the GGA-PBE level of DFT.

Calculated values
- energy of formation (meV/atom) = -503.1

Unit cell a=5.3292 b=5.3292 c=12.7580 alpha=90.00 beta=90.00 gamma=132.84
Fractional positions:
Y: 0.0087 0.9913 0.7500
Y: 0.2811 0.7189 0.1014
Y: 0.2811 0.7189 0.3986
Y: 0.7189 0.2811 0.6014
Y: 0.7189 0.2811 0.8986
Y: 0.9913 0.0087 0.2500
Ni: 0.3019 0.6981 0.7500
Ni: 0.4298 0.5702 0.5882
Ni: 0.4298 0.5702 0.9118
Ni: 0.5702 0.4298 0.0882
Ni: 0.5702 0.4298 0.4118
Ni: 0.6981 0.3019 0.2500
Ir: 0.0000 0.0000 0.0000
Ir: 0.0000 0.0000 0.5000

Computed, not measured: a relaxed structure of TaHg2Cl at the GGA-PBE level of DFT.

Calculated values
- E above lowest polymorph (meV per atom) = 1040.5
- formation energy (no corrections) (meV/atom) = 900

Unit cell a=7.1675 b=7.1675 c=7.1675 alpha=90.00 beta=90.00 gamma=90.00
Fractional positions:
Ta: 0.0000 0.0000 0.0000
Ta: 0.0000 0.5000 0.5000
Ta: 0.5000 0.0000 0.5000
Ta: 0.5000 0.5000 0.0000
Hg: 0.2500 0.2500 0.2500
Hg: 0.2500 0.2500 0.7500
Hg: 0.2500 0.7500 0.2500
Hg: 0.2500 0.7500 0.7500
Hg: 0.7500 0.2500 0.2500
Hg: 0.7500 0.2500 0.7500
Hg: 0.7500 0.7500 0.2500
Hg: 0.7500 0.7500 0.7500
Cl: 0.0000 0.0000 0.5000
Cl: 0.0000 0.5000 0.0000
Cl: 0.5000 0.0000 0.0000
Cl: 0.5000 0.5000 0.5000